Density functional theory data (GGA-PBE) for a relaxed Cs2FePCl6 crystal.

```
10
Lattice="-3.6033 3.6033 5.7434 3.6033 -3.6033 5.7434 3.6033 3.6033 -5.7434" Properties=species:S:1:pos:R:3 pbc="T T T"
Cs 3.6033 0.0000 2.8717
Cs 0.0000 3.6033 2.8717
Fe 0.0000 0.0000 0.0000
P 0.0000 0.0000 5.7434
Cl 0.0000 0.0000 2.2692
Cl 1.8953 1.8953 0.0000
Cl 1.7079 -1.7079 5.7434
Cl -1.7079 1.7079 5.7434
Cl 1.7079 1.7079 5.7434
Cl 0.0000 0.0000 9.2176
```

## Properties
E_form (uncorrected) = -1043.6 meV/atom
Crystal system = tetragonal
Space-group type = I4/mmm (139)